Record 1
VASP calculation (PBE) on a relaxed structure of Na2VNiGe.

a = 5.277 Å, b = 4.368 Å, c = 5.277 Å
α = 90.00°, β = 90.00°, γ = 90.00°
Fractional coordinates of all 5 atoms:
1 Na 0.500 0.000 0.000
2 Na 0.000 0.000 0.500
3 Ni 0.000 0.500 0.000
4 Ge 0.000 0.000 0.000
5 V 0.500 0.500 0.500

Calculated values
DOS(E_F) in states/eV per atom: 1.639
VASP energy in eV/atom: -3.287
DFT formation energy in meV per atom: 1145



Record 2
VASP calculation (PBE) on a relaxed structure of NaYNiGe2.

a = 4.833 Å, b = 5.151 Å, c = 4.833 Å
α = 90.00°, β = 90.00°, γ = 90.00°
Fractional coordinates of all 5 atoms:
1 Ge 0.500 0.000 0.000
2 Ge 0.000 0.000 0.500
3 Na 0.000 0.000 0.000
4 Ni 0.500 0.500 0.500
5 Y 0.000 0.500 0.000

Calculated values
DOS(E_F) in states/eV per atom: 0.918
VASP energy in eV/atom: -3.456
DFT formation energy in meV per atom: 1104



Record 3
VASP calculation (PBE) on a relaxed structure of NaZn2NiGe.

a = 4.686 Å, b = 4.686 Å, c = 4.464 Å
α = 90.00°, β = 90.00°, γ = 90.00°
Fractional coordinates of all 5 atoms:
1 Na 0.500 0.500 0.500
2 Zn 0.500 0.000 0.000
3 Zn 0.000 0.500 0.000
4 Ge 0.000 0.000 0.500
5 Ni 0.000 0.000 0.000

Calculated values
DOS(E_F) in states/eV per atom: 0.389
VASP energy in eV/atom: -2.895
DFT formation energy in meV per atom: -41



Record 4
VASP calculation (PBE) on a relaxed structure of NaNpGe2.

a = 4.689 Å, b = 4.689 Å, c = 7.997 Å
α = 72.95°, β = 72.95°, γ = 60.00°
Fractional coordinates of all 4 atoms:
1 Na 0.000 0.000 0.000
2 Np 0.500 0.500 0.500
3 Ge 0.871 0.871 0.386
4 Ge 0.129 0.129 0.614

Calculated values
DOS(E_F) in states/eV per atom: 2.288
VASP energy in eV/atom: -5.434
DFT formation energy in meV per atom: 440



Record 5
VASP calculation (PBE) on a relaxed structure of NaNpGe2.

a = 2.855 Å, b = 5.411 Å, c = 5.411 Å
α = 90.00°, β = 90.00°, γ = 90.00°
Fractional coordinates of all 4 atoms:
1 Ge 0.000 0.500 0.000
2 Ge 0.000 0.000 0.500
3 Np 0.500 0.000 0.000
4 Na 0.500 0.500 0.500

Calculated values
DOS(E_F) in states/eV per atom: 1.503
VASP energy in eV/atom: -5.958
DFT formation energy in meV per atom: -84



Record 6
VASP calculation (PBE) on a relaxed structure of NaNpGe2.

a = 3.085 Å, b = 3.085 Å, c = 8.956 Å
α = 90.00°, β = 90.00°, γ = 90.00°
Fractional coordinates of all 4 atoms:
1 Ge 0.000 0.000 0.242
2 Ge 0.000 0.000 0.758
3 Np 0.500 0.500 0.000
4 Na 0.500 0.500 0.500

Calculated values
DOS(E_F) in states/eV per atom: 1.353
VASP energy in eV/atom: -5.931
DFT formation energy in meV per atom: -58



Record 7
VASP calculation (PBE) on a relaxed structure of NaNp2GeO8.

a = 4.792 Å, b = 4.792 Å, c = 6.818 Å
α = 90.00°, β = 90.00°, γ = 88.08°
Fractional coordinates of all 12 atoms:
1 O 0.196 0.804 0.208
2 O 0.804 0.196 0.208
3 O 0.291 0.291 0.000
4 O 0.804 0.196 0.792
5 O 0.323 0.323 0.500
6 O 0.709 0.709 0.000
7 O 0.677 0.677 0.500
8 O 0.196 0.804 0.792
9 Np 0.500 0.500 0.754
10 Np 0.500 0.500 0.246
11 Ge 0.000 0.000 0.000
12 Na 0.000 0.000 0.500

Calculated values
Energy relative to the elements, uncorrected in eV/atom: -2.339
DOS(E_F) in states/eV per atom: 0.547
VASP energy in eV/atom: -8.296



Record 8
VASP calculation (PBE) on a relaxed structure of Na2NpGeO6.

a = 4.261 Å, b = 5.524 Å, c = 5.524 Å
α = 90.00°, β = 90.00°, γ = 90.00°
Fractional coordinates of all 10 atoms:
1 Na 0.101 0.000 0.500
2 Na 0.101 0.500 0.000
3 O 0.669 0.240 0.240
4 O 0.669 0.760 0.240
5 O 0.669 0.760 0.760
6 O 0.173 0.000 0.000
7 O 0.159 0.500 0.500
8 O 0.669 0.240 0.760
9 Np 0.653 0.500 0.500
10 Ge 0.586 0.000 0.000

Calculated values
Energy relative to the elements, uncorrected in eV/atom: -2.079
DOS(E_F) in states/eV per atom: 0.027
VASP energy in eV/atom: -7.074



Record 9
VASP calculation (PBE) on a relaxed structure of Na3Np3GeS8.

a = 7.985 Å, b = 7.986 Å, c = 8.041 Å
α = 119.78°, β = 90.00°, γ = 120.00°
Fractional coordinates of all 15 atoms:
1 S 0.264 0.025 0.286
2 S 0.257 0.515 0.273
3 S 0.239 0.478 0.714
4 S 0.761 0.025 0.286
5 S 0.761 0.522 0.286
6 S 0.239 0.975 0.714
7 S 0.743 0.485 0.727
8 S 0.736 0.975 0.714
9 Np 0.500 0.000 0.500
10 Np 0.000 0.500 0.500
11 Np 0.500 0.500 0.500
12 Na 0.500 0.500 0.000
13 Na 0.000 0.000 0.000
14 Na 0.000 0.500 0.000
15 Ge 0.000 0.000 0.500

Calculated values
Energy relative to the elements, uncorrected in eV/atom: -1.172
DOS(E_F) in states/eV per atom: 2.044
VASP energy in eV/atom: -6.533



Record 10
VASP calculation (PBE) on a relaxed structure of Na4Np3GeS8.

a = 8.025 Å, b = 8.064 Å, c = 8.024 Å
α = 119.87°, β = 120.00°, γ = 90.00°
Fractional coordinates of all 16 atoms:
1 Na 0.000 0.000 0.000
2 Na 0.000 0.000 0.500
3 Na 0.500 0.000 0.000
4 Na 0.500 0.000 0.500
5 S 0.758 0.277 0.019
6 S 0.738 0.723 0.981
7 S 0.258 0.273 0.515
8 S 0.242 0.723 0.485
9 S 0.758 0.277 0.515
10 S 0.742 0.727 0.485
11 S 0.262 0.277 0.019
12 S 0.242 0.723 0.981
13 Ge 0.000 0.500 0.000
14 Np 0.500 0.500 0.000
15 Np 0.500 0.500 0.500
16 Np 0.000 0.500 0.500

Calculated values
Energy relative to the elements, uncorrected in eV/atom: -1.204
DOS(E_F) in states/eV per atom: 1.981
VASP energy in eV/atom: -6.312



Record 11
VASP calculation (PBE) on a relaxed structure of Na2NpGeS4.

a = 3.979 Å, b = 6.917 Å, c = 6.919 Å
α = 71.21°, β = 90.00°, γ = 90.00°
Fractional coordinates of all 8 atoms:
1 Na 0.000 0.000 0.000
2 Na 0.500 0.000 0.500
3 S 0.500 0.722 0.262
4 S 0.000 0.281 0.248
5 S 0.000 0.719 0.752
6 S 0.500 0.278 0.738
7 Np 0.000 0.500 0.500
8 Ge 0.500 0.500 0.000

Calculated values
Energy relative to the elements, uncorrected in eV/atom: -1.026
DOS(E_F) in states/eV per atom: 0.997
VASP energy in eV/atom: -5.614



Record 12
VASP calculation (PBE) on a relaxed structure of Na2NpGeSe4.

a = 4.146 Å, b = 7.248 Å, c = 7.208 Å
α = 71.29°, β = 90.00°, γ = 90.00°
Fractional coordinates of all 8 atoms:
1 Se 0.500 0.275 0.742
2 Se 0.000 0.721 0.754
3 Se 0.000 0.279 0.246
4 Se 0.500 0.725 0.258
5 Na 0.000 0.000 0.000
6 Na 0.500 0.000 0.500
7 Ge 0.500 0.500 0.000
8 Np 0.000 0.500 0.500

Calculated values
Energy relative to the elements, uncorrected in eV/atom: -0.929
DOS(E_F) in states/eV per atom: 0.940
VASP energy in eV/atom: -5.196



Record 13
VASP calculation (PBE) on a relaxed structure of Na3Np3GeSe8.

a = 8.314 Å, b = 8.314 Å, c = 8.415 Å
α = 119.62°, β = 90.00°, γ = 120.00°
Fractional coordinates of all 15 atoms:
1 Se 0.744 0.488 0.732
2 Se 0.241 0.481 0.720
3 Se 0.738 0.979 0.720
4 Se 0.241 0.979 0.720
5 Se 0.759 0.519 0.280
6 Se 0.256 0.512 0.268
7 Se 0.262 0.021 0.280
8 Se 0.759 0.021 0.280
9 Np 0.500 0.000 0.500
10 Np 0.500 0.500 0.500
11 Np 0.000 0.500 0.500
12 Na 0.000 0.500 0.000
13 Na 0.500 0.500 0.000
14 Na 0.000 0.000 0.000
15 Ge 0.000 0.000 0.500

Calculated values
Energy relative to the elements, uncorrected in eV/atom: -1.036
DOS(E_F) in states/eV per atom: 2.060
VASP energy in eV/atom: -6.054



Record 14
VASP calculation (PBE) on a relaxed structure of Na4Np3GeTe8.

a = 8.957 Å, b = 9.045 Å, c = 8.958 Å
α = 119.70°, β = 119.99°, γ = 90.00°
Fractional coordinates of all 16 atoms:
1 Ge 0.000 0.500 0.000
2 Te 0.760 0.273 0.013
3 Te 0.253 0.273 0.013
4 Te 0.240 0.727 0.987
5 Te 0.255 0.265 0.510
6 Te 0.745 0.735 0.490
7 Te 0.760 0.273 0.519
8 Te 0.747 0.727 0.987
9 Te 0.240 0.727 0.481
10 Np 0.500 0.500 0.500
11 Np 0.000 0.500 0.500
12 Np 0.500 0.500 0.000
13 Na 0.500 0.000 0.000
14 Na 0.500 0.000 0.500
15 Na 0.000 0.000 0.500
16 Na 0.000 0.000 0.000

Calculated values
Energy relative to the elements, uncorrected in eV/atom: -0.723
DOS(E_F) in states/eV per atom: 1.770
VASP energy in eV/atom: -5.338



Record 15
VASP calculation (PBE) on a relaxed structure of Na2Ge2O5.

a = 3.669 Å, b = 5.764 Å, c = 6.170 Å
α = 95.92°, β = 90.00°, γ = 108.56°
Fractional coordinates of all 9 atoms:
1 O 0.142 0.284 0.616
2 O 0.320 0.640 0.003
3 O 0.858 0.716 0.384
4 O 0.000 0.000 0.000
5 O 0.680 0.360 0.997
6 Ge 0.146 0.293 0.895
7 Ge 0.854 0.707 0.105
8 Na 0.369 0.738 0.606
9 Na 0.631 0.262 0.394

Calculated values
Energy relative to the elements, uncorrected in eV/atom: -1.607
DOS(E_F) in states/eV per atom: 0.000
VASP energy in eV/atom: -5.681



Record 16
VASP calculation (PBE) on a relaxed structure of Na3GeO4.

a = 5.647 Å, b = 6.220 Å, c = 7.160 Å
α = 90.00°, β = 90.00°, γ = 90.00°
Fractional coordinates of all 16 atoms:
1 O 0.187 0.814 0.500
2 O 0.099 0.310 0.794
3 O 0.099 0.903 0.000
4 O 0.599 0.690 0.294
5 O 0.687 0.186 0.000
6 O 0.099 0.310 0.206
7 O 0.599 0.097 0.500
8 O 0.599 0.690 0.706
9 Ge 0.502 0.825 0.500
10 Ge 0.002 0.175 0.000
11 Na 0.509 0.329 0.256
12 Na 0.009 0.671 0.244
13 Na 0.009 0.671 0.756
14 Na 0.012 0.150 0.500
15 Na 0.512 0.850 0.000
16 Na 0.509 0.329 0.744

Calculated values
Energy relative to the elements, uncorrected in eV/atom: -1.519
DOS(E_F) in states/eV per atom: 1.086
VASP energy in eV/atom: -5.069



Record 17
VASP calculation (PBE) on a relaxed structure of Na2Ge2O5.

a = 5.096 Å, b = 6.661 Å, c = 16.323 Å
α = 90.00°, β = 90.00°, γ = 90.00°
Fractional coordinates of all 36 atoms:
1 Na 0.269 0.600 0.443
2 Na 0.269 0.400 0.057
3 Na 0.231 0.900 0.943
4 Na 0.231 0.100 0.557
5 Na 0.731 0.400 0.557
6 Na 0.769 0.100 0.057
7 Na 0.769 0.900 0.443
8 Na 0.731 0.600 0.943
9 Ge 0.298 0.899 0.155
10 Ge 0.202 0.399 0.845
11 Ge 0.202 0.601 0.655
12 Ge 0.798 0.601 0.155
13 Ge 0.298 0.101 0.345
14 Ge 0.702 0.101 0.845
15 Ge 0.798 0.399 0.345
16 Ge 0.702 0.899 0.655
17 O 0.356 0.844 0.650
18 O 0.856 0.656 0.650
19 O 0.267 0.446 0.573
20 O 0.233 0.054 0.073
21 O 0.733 0.446 0.073
22 O 0.856 0.344 0.850
23 O 0.698 0.500 0.250
24 O 0.767 0.054 0.573
25 O 0.233 0.946 0.427
26 O 0.733 0.554 0.427
27 O 0.198 0.000 0.250
28 O 0.767 0.946 0.927
29 O 0.802 0.000 0.750
30 O 0.644 0.156 0.350
31 O 0.267 0.554 0.927
32 O 0.144 0.656 0.150
33 O 0.144 0.344 0.350
34 O 0.644 0.844 0.150
35 O 0.302 0.500 0.750
36 O 0.356 0.156 0.850

Calculated values
Energy relative to the elements, uncorrected in eV/atom: -1.741
DOS(E_F) in states/eV per atom: 0.000
VASP energy in eV/atom: -5.815



Record 18
VASP calculation (PBE) on a relaxed structure of Na4Ge5O12.

a = 5.267 Å, b = 5.267 Å, c = 9.397 Å
α = 90.00°, β = 90.00°, γ = 120.00°
Fractional coordinates of all 21 atoms:
1 Ge 0.667 0.333 0.209
2 Ge 0.667 0.333 0.520
3 Ge 0.333 0.667 0.791
4 Ge 0.000 0.000 0.000
5 Ge 0.333 0.667 0.480
6 O 0.918 0.673 0.121
7 O 0.976 0.399 0.380
8 O 0.082 0.327 0.879
9 O 0.577 0.976 0.620
10 O 0.673 0.755 0.879
11 O 0.423 0.024 0.380
12 O 0.755 0.082 0.121
13 O 0.601 0.577 0.380
14 O 0.245 0.918 0.879
15 O 0.024 0.601 0.620
16 O 0.327 0.245 0.121
17 O 0.399 0.423 0.620
18 Na 0.667 0.333 0.899
19 Na 0.000 0.000 0.310
20 Na 0.333 0.667 0.101
21 Na 0.000 0.000 0.690

Calculated values
Energy relative to the elements, uncorrected in eV/atom: -1.577
VASP energy in eV/atom: -5.761



Record 19
VASP calculation (PBE) on a relaxed structure of Na3GeO.

a = 4.640 Å, b = 4.640 Å, c = 4.640 Å
α = 90.00°, β = 90.00°, γ = 90.00°
Fractional coordinates of all 5 atoms:
1 Na 0.500 0.000 0.000
2 Na 0.000 0.500 0.000
3 Na 0.000 0.000 0.500
4 O 0.000 0.000 0.000
5 Ge 0.500 0.500 0.500

Calculated values
Energy relative to the elements, uncorrected in eV/atom: -0.445
DOS(E_F) in states/eV per atom: 0.671
VASP energy in eV/atom: -3.151



Record 20
VASP calculation (PBE) on a relaxed structure of NaGeO.

a = 4.350 Å, b = 4.350 Å, c = 4.712 Å
α = 117.49°, β = 117.49°, γ = 90.00°
Fractional coordinates of all 3 atoms:
1 Na 0.909 0.909 0.817
2 O 0.591 0.591 0.183
3 Ge 0.350 0.350 0.700

Calculated values
Energy relative to the elements, uncorrected in eV/atom: -0.513
DOS(E_F) in states/eV per atom: 0.650
VASP energy in eV/atom: -4.145



Record 21
VASP calculation (PBE) on a relaxed structure of NaGeO2.

a = 6.034 Å, b = 5.751 Å, c = 5.445 Å
α = 121.88°, β = 123.65°, γ = 90.00°
Fractional coordinates of all 8 atoms:
1 Na 0.500 0.250 0.000
2 Na 0.500 0.750 0.000
3 Ge 0.000 0.750 0.000
4 Ge 0.000 0.250 0.000
5 O 0.289 0.605 0.211
6 O 0.078 0.895 0.789
7 O 0.922 0.105 0.211
8 O 0.711 0.395 0.789

Calculated values
Energy relative to the elements, uncorrected in eV/atom: -1.172
VASP energy in eV/atom: -5.136